Entry 1:
Cs2VSbF6: optimized geometry, GGA+U.

a = 7.1441 Å, b = 7.1441 Å, c = 6.6320 Å
α = 57.41°, β = 57.41°, γ = 90.00°
With the nearest neighbours (Å) after each atom.
Element x y z (fractional)
F: 0.7419 0.7419 0.5162  1 V 2.08, 1 Sb 2.22
F: 0.6927 0.6927 0.0000  1 V 1.95
F: 0.3073 0.3073 0.0000  1 V 1.95
F: 0.6927 0.3073 0.0000  1 V 1.95
F: 0.2581 0.2581 0.4838  1 V 2.08, 1 Sb 2.22
F: 0.3073 0.6927 0.0000  1 V 1.95
Cs: 0.2500 0.7500 0.5000  12 F 3.37-3.57
Cs: 0.7500 0.2500 0.5000  12 F 3.37-3.57
V: 0.5000 0.5000 0.0000  6 F 1.95-2.08
Sb: 0.0000 0.0000 0.0000  2 F 2.22

Results
Total moment   0.400 μB per atom
Total DFT energy (no corrections)   -48.64 eV for the cell shown
SG   No. 139
Volume   21.93 Å³ per atom

Entry 2:
Cs2SbWF6: optimized geometry, GGA+U.

a = 6.2378 Å, b = 6.2378 Å, c = 7.4878 Å
α = 65.38°, β = 65.38°, γ = 90.00°
With the nearest neighbours (Å) after each atom.
Element x y z (fractional)
F: 0.7597 0.2403 0.0000  1 W 2.12, 1 Sb 2.29
F: 0.1739 0.1739 0.6523  1 W 2.10
F: 0.7597 0.7597 0.0000  1 W 2.12, 1 Sb 2.29
F: 0.2403 0.2403 0.0000  1 W 2.12, 1 Sb 2.29
F: 0.2403 0.7597 0.0000  1 W 2.12, 1 Sb 2.29
F: 0.8261 0.8261 0.3477  1 W 2.10
Sb: 0.5000 0.5000 0.0000  4 F 2.29
W: 0.0000 0.0000 0.0000  6 F 2.10-2.12
Cs: 0.2500 0.7500 0.5000  4 F 3.25
Cs: 0.7500 0.2500 0.5000  4 F 3.25

Results
Total moment   0.300 μB per atom
Total DFT energy (no corrections)   -47.40 eV for the cell shown
SG   No. 139
Volume   23.54 Å³ per atom